Material: PuPaSi2
Method: DFT, PBE
State: optimized geometry

M_tot	1.668	μB per atom
energy	-9.1279	eV per atom
SG	Pm, No. 6

Cell lengths 4.245, 3.810, 5.700 Å; angles 90.00, 111.78, 90.00 degrees
Fractional coordinates of all 4 atoms:
Pu1 0.000 0.000 0.000
Pa1 0.291 0.500 0.583
Si1 0.576 0.500 0.152
Si2 0.718 0.000 0.438

Material: PuPaSi
Method: DFT, PBE
State: optimized geometry

M_tot	2.074	μB per atom
distance to the lowest polymorph of the same formula	0	meV per atom
SG	F-43m, No. 216

Cell lengths 4.581, 4.581, 4.581 Å; angles 60.00, 60.00, 60.00 degrees
Fractional coordinates of all 3 atoms:
Pu1 0.000 0.000 0.000
Pa1 0.500 0.500 0.500
Si1 0.750 0.750 0.750

Material: PuPaSn
Method: DFT, PBE
State: optimized geometry

M_tot	2.921	μB per atom
energy	-8.9939	eV per atom
SG	F-43m, No. 216

Cell lengths 4.944, 4.944, 4.944 Å; angles 60.00, 60.00, 60.00 degrees
Fractional coordinates of all 3 atoms:
Pu1 0.000 0.000 0.000
Pa1 0.750 0.750 0.750
Sn1 0.250 0.250 0.250

Material: PuPaTa
Method: DFT, PBE
State: optimized geometry

M_tot	1.905	μB per atom
distance to the lowest polymorph of the same formula	0	meV per atom
SG	F-43m, No. 216
energy relative to the elements	0.7586	eV per atom

Cell lengths 4.532, 4.532, 4.532 Å; angles 60.00, 60.00, 60.00 degrees
Fractional coordinates of all 3 atoms:
Pu1 0.000 0.000 0.000
Pa1 0.750 0.750 0.750
Ta1 0.250 0.250 0.250

Material: PuPaTc
Method: DFT, PBE
State: optimized geometry

M_tot	1.665	μB per atom
SG	F-43m, No. 216
energy relative to the elements	0.2555	eV per atom

Cell lengths 4.406, 4.406, 4.406 Å; angles 60.00, 60.00, 60.00 degrees
Fractional coordinates of all 3 atoms:
Pu1 0.000 0.000 0.000
Pa1 0.750 0.750 0.750
Tc1 0.250 0.250 0.250

Material: PuPaTe
Method: DFT, PBE
State: optimized geometry

M_tot	2.954	μB per atom
distance to the lowest polymorph of the same formula	0	meV per atom
SG	F-43m, No. 216

Cell lengths 5.115, 5.115, 5.115 Å; angles 60.00, 60.00, 60.00 degrees
Fractional coordinates of all 3 atoms:
Pu1 0.000 0.000 0.000
Pa1 0.500 0.500 0.500
Te1 0.750 0.750 0.750

Material: PuThPa
Method: DFT, PBE
State: optimized geometry

M_tot	2.331	μB per atom
distance to the lowest polymorph of the same formula	0	meV per atom
SG	F-43m, No. 216
energy relative to the elements	0.5459	eV per atom

Cell lengths 4.951, 4.951, 4.951 Å; angles 60.00, 60.00, 60.00 degrees
Fractional coordinates of all 3 atoms:
Pu1 0.000 0.000 0.000
Th1 0.250 0.250 0.250
Pa1 0.750 0.750 0.750

Material: PuPaTl
Method: DFT, PBE
State: optimized geometry

M_tot	2.631	μB per atom
distance to the lowest polymorph of the same formula	0	meV per atom
SG	F-43m, No. 216

Cell lengths 4.942, 4.942, 4.942 Å; angles 60.00, 60.00, 60.00 degrees
Fractional coordinates of all 3 atoms:
Pu1 0.000 0.000 0.000
Pa1 0.750 0.750 0.750
Tl1 0.250 0.250 0.250

Material: TmPuPa
Method: DFT, PBE
State: optimized geometry

M_tot	2.717	μB per atom
distance to the lowest polymorph of the same formula	0	meV per atom
SG	F-43m, No. 216
energy relative to the elements	0.7682	eV per atom

Cell lengths 4.777, 4.777, 4.777 Å; angles 60.00, 60.00, 60.00 degrees
Fractional coordinates of all 3 atoms:
Tm1 0.000 0.000 0.000
Pu1 0.750 0.750 0.750
Pa1 0.500 0.500 0.500

Material: PuPaW
Method: DFT, PBE
State: optimized geometry

M_tot	1.896	μB per atom
distance to the lowest polymorph of the same formula	0	meV per atom
SG	F-43m, No. 216
energy relative to the elements	0.6158	eV per atom

Cell lengths 4.753, 4.753, 4.753 Å; angles 60.00, 60.00, 60.00 degrees
Fractional coordinates of all 3 atoms:
Pu1 0.000 0.000 0.000
Pa1 0.500 0.500 0.500
W1 0.250 0.250 0.250

Material: YPuPa
Method: DFT, PBE
State: optimized geometry

M_tot	1.971	μB per atom
distance to the lowest polymorph of the same formula	0	meV per atom
SG	F-43m, No. 216
energy relative to the elements	1.0426	eV per atom

Cell lengths 4.749, 4.749, 4.749 Å; angles 60.00, 60.00, 60.00 degrees
Fractional coordinates of all 3 atoms:
Y1 0.000 0.000 0.000
Pu1 0.500 0.500 0.500
Pa1 0.750 0.750 0.750

Material: PuPaZn
Method: DFT, PBE
State: optimized geometry

M_tot	2.313	μB per atom
distance to the lowest polymorph of the same formula	0	meV per atom
SG	F-43m, No. 216
energy relative to the elements	0.3762	eV per atom

Cell lengths 4.653, 4.653, 4.653 Å; angles 60.00, 60.00, 60.00 degrees
Fractional coordinates of all 3 atoms:
Pu1 0.000 0.000 0.000
Pa1 0.750 0.750 0.750
Zn1 0.250 0.250 0.250

Question: M_tot of number 10 (PuPaW)?
Answer: 1.896 μB per atom